1.
Density functional theory data (PBE) for crystalline SrZrAg2 at its relaxed geometry.

a = 5.9856 Å, b = 5.9856 Å, c = 5.9856 Å
α = 137.39°, β = 137.39°, γ = 61.84°
Fractional positions:
1 Ag 0.0000 0.0000 0.0000
2 Ag 0.2500 0.7500 0.5000
3 Sr 0.5000 0.5000 0.0000
4 Zr 0.7500 0.2500 0.5000

## Properties
* excess energy over the best structure of this formula in the dataset: 318 meV per atom
* E_tot: -3.713 eV/atom

2.
Density functional theory data (PBE) for crystalline ZnP2Rh2 at its relaxed geometry.

a = 7.1851 Å, b = 7.1851 Å, c = 2.8165 Å
α = 90.00°, β = 90.00°, γ = 90.00°
Fractional positions:
1 P 0.3531 0.8531 0.0000
2 P 0.8531 0.6469 0.0000
3 P 0.6469 0.1469 0.0000
4 P 0.1469 0.3531 0.0000
5 Zn 0.0000 0.0000 0.0000
6 Zn 0.5000 0.5000 0.0000
7 Rh 0.1403 0.6403 0.5000
8 Rh 0.6403 0.8597 0.5000
9 Rh 0.8597 0.3597 0.5000
10 Rh 0.3597 0.1403 0.5000

## Properties
* excess energy over the best structure of this formula in the dataset: 272 meV per atom
* E_tot: -5.490 eV/atom

3.
Density functional theory data (PBE) for crystalline NaLi2ScHg at its relaxed geometry.

a = 4.6157 Å, b = 5.7362 Å, c = 4.6157 Å
α = 90.00°, β = 90.00°, γ = 90.00°
Fractional positions:
1 Sc 0.0000 0.5000 0.0000
2 Na 0.0000 0.0000 0.0000
3 Hg 0.5000 0.5000 0.5000
4 Li 0.0000 0.0000 0.5000
5 Li 0.5000 0.0000 0.0000

## Properties
* E_tot: -1.816 eV/atom

4.
Density functional theory data (PBE) for crystalline Pr3Sm3Y4 at its relaxed geometry.

a = 3.7020 Å, b = 9.6783 Å, c = 9.6783 Å
α = 90.12°, β = 90.00°, γ = 90.00°
Fractional positions:
1 Pr 0.5000 0.8253 0.1747
2 Pr 0.5000 0.3245 0.3252
3 Pr 0.5000 0.6748 0.6755
4 Sm 0.0000 0.4976 0.9990
5 Sm 0.0000 0.0010 0.5024
6 Sm 0.5000 0.1750 0.8250
7 Y 0.0000 0.6233 0.3767
8 Y 0.0000 0.3755 0.6245
9 Y 0.0000 0.8785 0.8755
10 Y 0.0000 0.1245 0.1215

## Properties
* E_tot: -5.330 eV/atom

5.
Density functional theory data (PBE) for crystalline Hf5Ga12Pt2 at its relaxed geometry.

a = 6.9714 Å, b = 7.4703 Å, c = 7.5648 Å
α = 78.84°, β = 90.00°, γ = 117.81°
Fractional positions:
1 Hf 0.1644 0.3288 0.7544
2 Hf 0.2784 0.5569 0.2373
3 Hf 0.0000 0.0000 0.5000
4 Hf 0.7216 0.4431 0.7627
5 Hf 0.8356 0.6712 0.2456
6 Ga 0.0563 0.1126 0.1417
7 Ga 0.1387 0.6607 0.8840
8 Ga 0.5220 0.6607 0.8840
9 Ga 0.1327 0.6882 0.5204
10 Ga 0.5555 0.6882 0.5204
11 Ga 0.5115 0.0229 0.6934
12 Ga 0.4885 0.9771 0.3066
13 Ga 0.8673 0.3118 0.4796
14 Ga 0.4445 0.3118 0.4796
15 Ga 0.8613 0.3393 0.1160
16 Ga 0.4780 0.3393 0.1160
17 Ga 0.9437 0.8874 0.8583
18 Pt 0.6974 0.0000 0.0000
19 Pt 0.3026 0.0000 0.0000

## Properties
* E_tot: -5.476 eV/atom

6.
Density functional theory data (PBE) for crystalline Be2CrCl at its relaxed geometry.

a = 2.7306 Å, b = 2.7306 Å, c = 6.9955 Å
α = 90.00°, β = 90.00°, γ = 109.68°
Fractional positions:
1 Cr 0.5000 0.5000 0.7500
2 Be 0.0000 0.0000 0.9868
3 Be 0.0000 0.0000 0.5132
4 Cl 0.5000 0.5000 0.2500

## Properties
* excess energy over the best structure of this formula in the dataset: 248 meV per atom
* E_tot: -4.289 eV/atom
* energy relative to the elements, uncorrected: 1.77 eV/f.u.

7.
Density functional theory data (PBE) for crystalline RbW3N at its relaxed geometry.

a = 4.3458 Å, b = 4.3458 Å, c = 4.3458 Å
α = 90.00°, β = 90.00°, γ = 90.00°
Fractional positions:
1 Rb 0.5000 0.5000 0.5000
2 W 0.0000 0.5000 0.0000
3 W 0.0000 0.0000 0.5000
4 W 0.5000 0.0000 0.0000
5 N 0.0000 0.0000 0.0000

## Properties
* excess energy over the best structure of this formula in the dataset: 0 meV per atom
* E_tot: -8.083 eV/atom
* energy relative to the elements, uncorrected: 7.74 eV/f.u.

8.
Density functional theory data (PBE) for crystalline SmRh3 at its relaxed geometry.

a = 5.2991 Å, b = 5.2991 Å, c = 17.6469 Å
α = 90.00°, β = 90.00°, γ = 120.00°
Fractional positions:
1 Sm 0.3333 0.6667 0.9581
2 Sm 0.6667 0.3333 0.0419
3 Sm 0.6667 0.3333 0.4581
4 Sm 0.3333 0.6667 0.5419
5 Sm 0.3333 0.6667 0.7500
6 Sm 0.6667 0.3333 0.2500
7 Rh 0.1669 0.8331 0.3732
8 Rh 0.1669 0.3338 0.3732
9 Rh 0.6662 0.8331 0.3732
10 Rh 0.8331 0.1669 0.6268
11 Rh 0.8331 0.6662 0.6268
12 Rh 0.3338 0.1669 0.6268
13 Rh 0.8331 0.1669 0.8732
14 Rh 0.8331 0.6662 0.8732
15 Rh 0.3338 0.1669 0.8732
16 Rh 0.1669 0.8331 0.1268
17 Rh 0.1669 0.3338 0.1268
18 Rh 0.6662 0.8331 0.1268
19 Rh 0.3333 0.6667 0.2500
20 Rh 0.6667 0.3333 0.7500
21 Rh 0.0000 0.0000 0.2500
22 Rh 0.0000 0.0000 0.7500
23 Rh 0.0000 0.0000 0.5000
24 Rh 0.0000 0.0000 0.0000

## Properties
* E_tot: -7.235 eV/atom

9.
Density functional theory data (PBE) for crystalline Zr5ScAu6 at its relaxed geometry.

a = 4.7951 Å, b = 7.2863 Å, c = 8.0880 Å
α = 63.23°, β = 74.41°, γ = 90.00°
Fractional positions:
1 Sc 0.0000 0.0000 0.0000
2 Au 0.8653 0.6107 0.3330
3 Au 0.8652 0.0564 0.3330
4 Au 0.5000 0.7934 0.0000
5 Au 0.5000 0.2066 0.0000
6 Au 0.1348 0.9436 0.6670
7 Au 0.1347 0.3893 0.6670
8 Zr 0.6589 0.1881 0.6237
9 Zr 0.3589 0.3569 0.2863
10 Zr 0.0000 0.5000 0.0000
11 Zr 0.6411 0.6431 0.7137
12 Zr 0.3411 0.8119 0.3763

## Properties
* E_tot: -6.265 eV/atom

10.
Density functional theory data (PBE) for crystalline Tb2Ce3ErSb6 at its relaxed geometry.

a = 7.6978 Å, b = 7.6978 Å, c = 7.6933 Å
α = 99.60°, β = 99.60°, γ = 119.99°
Fractional positions:
1 Tb 0.3336 0.6664 0.0000
2 Tb 0.6664 0.3336 0.0000
3 Ce 0.1675 0.8325 0.5000
4 Ce 0.8325 0.1675 0.5000
5 Ce 0.5000 0.5000 0.5000
6 Er 0.0000 0.0000 0.0000
7 Sb 0.9190 0.5875 0.7567
8 Sb 0.7501 0.7501 0.2442
9 Sb 0.0810 0.4125 0.2433
10 Sb 0.5875 0.9190 0.7567
11 Sb 0.2499 0.2499 0.7558
12 Sb 0.4125 0.0810 0.2433

## Properties
* E_tot: -5.785 eV/atom
* energy relative to the elements, uncorrected: -13.06 eV/f.u.

11.
Density functional theory data (PBE) for crystalline CuRePd2Br at its relaxed geometry.

a = 4.7112 Å, b = 4.7380 Å, c = 4.7112 Å
α = 90.00°, β = 90.00°, γ = 90.00°
Fractional positions:
1 Re 0.0000 0.5000 0.0000
2 Cu 0.0000 0.0000 0.0000
3 Br 0.5000 0.5000 0.5000
4 Pd 0.0000 0.0000 0.5000
5 Pd 0.5000 0.0000 0.0000

## Properties
* E_tot: -4.350 eV/atom
* energy relative to the elements, uncorrected: 6.85 eV/f.u.

12.
Density functional theory data (PBE) for crystalline Si2SbCl at its relaxed geometry.

a = 3.0692 Å, b = 5.0161 Å, c = 5.3508 Å
α = 90.00°, β = 90.00°, γ = 90.00°
Fractional positions:
1 Cl 0.5000 0.0000 0.5000
2 Sb 0.0000 0.5000 0.5000
3 Si 0.0000 0.0000 0.0000
4 Si 0.5000 0.5000 0.0000

## Properties
* excess energy over the best structure of this formula in the dataset: 638 meV per atom
* E_tot: -3.686 eV/atom
* energy relative to the elements, uncorrected: 2.07 eV/f.u.

13.
Density functional theory data (PBE) for crystalline In2TcSe at its relaxed geometry.

a = 4.8402 Å, b = 4.8402 Å, c = 4.8402 Å
α = 60.00°, β = 60.00°, γ = 60.00°
Fractional positions:
1 In 0.0000 0.0000 0.0000
2 In 0.2500 0.2500 0.2500
3 Se 0.5000 0.5000 0.5000
4 Tc 0.7500 0.7500 0.7500

## Properties
* E_tot: -4.292 eV/atom
* energy relative to the elements, uncorrected: 2.16 eV/f.u.

14.
Density functional theory data (PBE) for crystalline Si2Au3 at its relaxed geometry.

a = 6.4757 Å, b = 6.4757 Å, c = 6.4727 Å
α = 59.98°, β = 59.98°, γ = 60.00°
Fractional positions:
1 Si 0.8820 0.8820 0.3540
2 Si 0.3820 0.3820 0.8540
3 Si 0.1180 0.1180 0.6460
4 Si 0.6180 0.6180 0.1460
5 Au 0.0127 0.7500 0.7500
6 Au 0.7500 0.4873 0.7500
7 Au 0.4873 0.0127 0.7500
8 Au 0.2500 0.5127 0.2500
9 Au 0.5127 0.9873 0.2500
10 Au 0.9873 0.2500 0.2500

## Properties
* excess energy over the best structure of this formula in the dataset: 13 meV per atom
* E_tot: -4.049 eV/atom
* energy relative to the elements, uncorrected: 0.43 eV/f.u.

15.
Density functional theory data (PBE) for crystalline LuZrCdPd at its relaxed geometry.

a = 4.9434 Å, b = 4.9434 Å, c = 4.9434 Å
α = 60.00°, β = 60.00°, γ = 60.00°
Fractional positions:
1 Lu 0.5000 0.5000 0.5000
2 Pd 0.2500 0.2500 0.2500
3 Zr 0.0000 0.0000 0.0000
4 Cd 0.7500 0.7500 0.7500

## Properties
* E_tot: -5.164 eV/atom

16.
Density functional theory data (PBE) for crystalline CsLiTe2 at its relaxed geometry.

a = 5.1035 Å, b = 7.1744 Å, c = 9.4595 Å
α = 76.57°, β = 84.85°, γ = 76.46°
Fractional positions:
1 Cs 0.9205 0.2032 0.9618
2 Cs 0.0033 0.5092 0.3333
3 Te 0.4731 0.7223 0.0239
4 Te 0.5431 0.2477 0.6196
5 Te 0.7847 0.0106 0.4142
6 Te 0.2913 0.6389 0.7778
7 Li 0.2690 0.9720 0.5488
8 Li 0.7334 0.8343 0.7485

## Properties
* excess energy over the best structure of this formula in the dataset: 27 meV per atom
* E_tot: -3.061 eV/atom
* energy relative to the elements, uncorrected: -3.20 eV/f.u.

17.
Density functional theory data (PBE) for crystalline ZrAsBr2 at its relaxed geometry.

a = 3.5614 Å, b = 7.6664 Å, c = 7.6687 Å
α = 41.25°, β = 90.00°, γ = 90.00°
Fractional positions:
1 As 0.5000 0.7500 0.7500
2 Br 0.0000 0.1080 0.1079
3 Br 0.0000 0.3920 0.3921
4 Zr 0.5000 0.2500 0.2500

## Properties
* excess energy over the best structure of this formula in the dataset: 139 meV per atom
* E_tot: -4.823 eV/atom
* energy relative to the elements, uncorrected: -2.75 eV/f.u.

18.
Density functional theory data (PBE) for crystalline CeNdGa3 at its relaxed geometry.

a = 4.2242 Å, b = 4.2936 Å, c = 13.3010 Å
α = 99.29°, β = 90.00°, γ = 90.00°
Fractional positions:
1 Ce 0.2500 0.7943 0.5885
2 Ce 0.7500 0.2057 0.4115
3 Nd 0.2500 0.0722 0.1444
4 Nd 0.7500 0.9278 0.8556
5 Ga 0.2500 0.3818 0.7635
6 Ga 0.7500 0.6182 0.2365
7 Ga 0.2500 0.4763 0.9526
8 Ga 0.7500 0.5237 0.0474
9 Ga 0.7500 0.3273 0.6545
10 Ga 0.2500 0.6727 0.3455

## Properties
* E_tot: -4.553 eV/atom

19.
Density functional theory data (PBE) for crystalline CaCd2Hg at its relaxed geometry.

a = 4.8299 Å, b = 4.5835 Å, c = 4.5835 Å
α = 90.00°, β = 90.00°, γ = 90.00°
Fractional positions:
1 Ca 0.5000 0.0000 0.5000
2 Hg 0.5000 0.5000 0.0000
3 Cd 0.0000 0.0000 0.0000
4 Cd 0.0000 0.5000 0.5000

## Properties
* E_tot: -1.330 eV/atom

20.
Density functional theory data (PBE) for crystalline HgOsPb2 at its relaxed geometry.

a = 5.1597 Å, b = 5.1597 Å, c = 3.4394 Å
α = 90.00°, β = 90.00°, γ = 90.00°
Fractional positions:
1 Hg 0.5000 0.0000 0.5000
2 Os 0.0000 0.5000 0.5000
3 Pb 0.0000 0.0000 0.0000
4 Pb 0.5000 0.5000 0.0000

## Properties
* E_tot: -3.903 eV/atom